# 1
Below is a relaxed ScN crystal, with properties calculated at the PBE level.

```
ScN
1.0
5.977 0.000 0.000
0.000 5.977 0.000
0.000 0.000 5.977
Sc N
6 6
direct
0.000 0.250 0.500
0.000 0.750 0.500
0.250 0.500 0.000
0.500 0.000 0.250
0.500 0.000 0.750
0.750 0.500 0.000
0.000 0.500 0.250
0.000 0.500 0.750
0.250 0.000 0.500
0.500 0.250 0.000
0.500 0.750 0.000
0.750 0.000 0.500
```

Values from the calculation:
Calculated total energy = -0.655 Ry per atom
M_tot = 0.00 μB per atom
Density = 2.8 g/cm³

=====

# 2
Below is a relaxed TeSe6Br2 crystal, with properties calculated at the PBE level.

```
TeSe6Br2
1.0
9.234 -6.701 0.000
9.234 6.701 0.000
-0.423 0.000 5.497
Te Se Br
2 12 4
direct
0.199 0.801 0.750
0.801 0.199 0.250
0.020 0.406 0.858
0.023 0.252 0.103
0.252 0.023 0.603
0.283 0.632 0.412
0.368 0.717 0.088
0.406 0.020 0.358
0.594 0.980 0.642
0.632 0.283 0.912
0.717 0.368 0.588
0.748 0.977 0.397
0.977 0.748 0.897
0.980 0.594 0.142
0.216 0.452 0.650
0.452 0.216 0.150
0.548 0.784 0.850
0.784 0.548 0.350
```

Values from the calculation:
Calculated total energy = -0.216 Ry per atom
M_tot = 0.00 μB per atom
Density = 3.7 g/cm³